A geometry-optimized ReMoI2O structure. Source: Alexandria via LeMat-Bulk, functional GGA+U.

Lattice parameters (Å, degrees): 5.972 5.972 3.890 90.00 90.00 90.00
Positions (direct):
Re 0.000 0.000 0.000
Mo 0.500 0.500 0.500
I 0.000 0.500 0.500
I 0.500 0.000 0.500
O 0.500 0.500 0.000

Output
energy	-4.71	eV/atom
E above lowest polymorph	269	kJ/mol of formula units
volume	139	Å³/f.u.
density of states at the Fermi level	0.7149	states/eV per atom
space group	P4/mmm, No. 123
total magnetization	8.12	μB/cell